(1)
Below is a relaxed Pm5InCo crystal, with properties calculated at the PBE level.

Structure (POSCAR):
```
Pm5InCo
1.0
5.4698 -3.5030 0.0000
5.4698 3.5030 0.0000
-3.9428 0.0000 10.8883
Pm In Co
10 2 2
direct
0.0125 0.9875 0.7500 Pm
0.0213 0.4090 0.6366 Pm
0.1993 0.5583 0.9526 Pm
0.4090 0.0213 0.1366 Pm
0.4417 0.8007 0.5474 Pm
0.5583 0.1993 0.4526 Pm
0.5910 0.9787 0.8634 Pm
0.8007 0.4417 0.0474 Pm
0.9787 0.5910 0.3634 Pm
0.9875 0.0125 0.2500 Pm
0.4685 0.5315 0.2500 In
0.5315 0.4685 0.7500 In
0.0000 0.0000 0.0000 Co
0.0000 0.0000 0.5000 Co
```

Values from the calculation:
mass density = 7.2 g/cm³
calculated formation energy = -0.08 eV/atom

***

(2)
Below is a relaxed Tc2SbBr crystal, with properties calculated at the PBE level.

Structure (POSCAR):
```
Tc2SbBr
1.0
-2.9544 2.9544 5.5116
2.9544 -2.9544 5.5116
2.9544 2.9544 -5.5116
Tc Sb Br
4 2 2
direct
0.0978 0.6250 0.9728 Tc
0.3750 0.3478 0.4728 Tc
0.6522 0.1250 0.0272 Tc
0.8750 0.9022 0.5272 Tc
0.2500 0.7500 0.5000 Sb
0.5000 0.5000 0.0000 Sb
0.0000 0.0000 0.0000 Br
0.7500 0.2500 0.5000 Br
```

Values from the calculation:
formation energy without anion corrections = 980 meV/atom
mass density = 6.9 g/cm³
ΔE to the lowest computed polymorph = 879 meV/atom

***

(3)
Below is a relaxed Pm3Tm2Sc3 crystal, with properties calculated at the PBE level.

Structure (POSCAR):
```
Pm3Tm2Sc3
1.0
-2.3945 2.4774 9.9003
2.3945 -2.4774 9.9003
2.3945 2.4774 -9.9003
Pm Tm Sc
3 2 3
direct
0.0000 0.0000 0.0000 Pm
0.3770 0.8770 0.5000 Pm
0.6230 0.1230 0.5000 Pm
0.2482 0.2482 0.0000 Tm
0.7518 0.7518 0.0000 Tm
0.1256 0.6256 0.5000 Sc
0.5000 0.5000 0.0000 Sc
0.8744 0.3744 0.5000 Sc
```

Values from the calculation:
mass density = 6.4 g/cm³
calculated formation energy = 0.05 eV/atom

***

(4)
Below is a relaxed ZrSc5As6 crystal, with properties calculated at the PBE level.

Structure (POSCAR):
```
ZrSc5As6
1.0
3.3557 -5.8061 0.0000
3.3557 5.8061 0.0000
-2.2371 0.0000 6.3269
Zr Sc As
1 5 6
direct
0.0000 0.0000 0.0000 Zr
0.1663 0.8337 0.5000 Sc
0.3332 0.6668 0.0000 Sc
0.5000 0.5000 0.5000 Sc
0.6668 0.3332 0.0000 Sc
0.8337 0.1663 0.5000 Sc
0.0836 0.4177 0.2507 As
0.2507 0.2507 0.7498 As
0.4177 0.0836 0.2507 As
0.5823 0.9164 0.7493 As
0.7493 0.7493 0.2502 As
0.9164 0.5823 0.7493 As
```

Values from the calculation:
mass density = 5.2 g/cm³
calculated formation energy = -1.35 eV/atom

***

(5)
Below is a relaxed Nd6Ga3Au crystal, with properties calculated at the PBE level.

Structure (POSCAR):
```
Nd6Ga3Au
1.0
9.0266 0.0000 0.0000
0.0000 12.1639 0.0000
0.0000 0.0000 5.1845
Nd Ga Au
12 6 2
direct
0.0011 0.2484 0.0000 Nd
0.1653 0.0834 0.5000 Nd
0.1714 0.4112 0.5000 Nd
0.3286 0.9112 0.0000 Nd
0.3347 0.5834 0.0000 Nd
0.4989 0.7484 0.5000 Nd
0.5011 0.2516 0.5000 Nd
0.6653 0.4166 0.0000 Nd
0.6714 0.0888 0.0000 Nd
0.8286 0.5888 0.5000 Nd
0.8347 0.9166 0.5000 Nd
0.9989 0.7516 0.0000 Nd
0.0000 0.0000 0.0000 Ga
0.1664 0.7768 0.5000 Ga
0.3336 0.2768 0.0000 Ga
0.5000 0.5000 0.5000 Ga
0.6664 0.7232 0.0000 Ga
0.8336 0.2232 0.5000 Ga
0.0000 0.5000 0.0000 Au
0.5000 0.0000 0.5000 Au
```

Values from the calculation:
mass density = 7.4 g/cm³
calculated formation energy = -0.43 eV/atom

***

(6)
Below is a relaxed AcPr5Ag4 crystal, with properties calculated at the PBE level.

Structure (POSCAR):
```
AcPr5Ag4
1.0
3.7931 0.0000 0.0000
0.0000 3.7931 0.0000
0.0000 0.0000 20.5537
Ac Pr Ag
1 5 4
direct
0.0000 0.0000 0.0000 Ac
0.5000 0.5000 0.1324 Pr
0.5000 0.5000 0.3156 Pr
0.5000 0.5000 0.5000 Pr
0.5000 0.5000 0.6844 Pr
0.5000 0.5000 0.8676 Pr
0.0000 0.0000 0.2245 Ag
0.0000 0.0000 0.4077 Ag
0.0000 0.0000 0.5923 Ag
0.0000 0.0000 0.7755 Ag
```

Values from the calculation:
mass density = 7.7 g/cm³
calculated formation energy = -0.19 eV/atom

***

(7)
Below is a relaxed PPdRuN crystal, with properties calculated at the PBE level.

Structure (POSCAR):
```
PPdRuN
1.0
3.1513 0.0000 0.0000
-1.5756 2.7291 0.0000
0.0000 0.0000 6.3858
P Pd Ru N
1 1 1 1
direct
0.0000 0.0000 0.0000 P
0.6667 0.3333 0.7562 Pd
0.3333 0.6667 0.3037 Ru
0.6667 0.3333 0.4124 N
```

Values from the calculation:
formation energy without anion corrections = 112 meV/atom
mass density = 7.6 g/cm³
ΔE to the lowest computed polymorph = 46 meV/atom

***

(8)
Below is a relaxed Ta2CrMoH crystal, with properties calculated at the PBE level.

Structure (POSCAR):
```
Ta2CrMoH
1.0
4.4818 0.0000 0.0000
0.0000 4.4818 0.0000
0.0000 0.0000 3.2854
Ta Cr Mo H
2 1 1 1
direct
0.0000 0.5000 0.0000 Ta
0.5000 0.0000 0.0000 Ta
0.0000 0.0000 0.5000 Cr
0.5000 0.5000 0.5000 Mo
0.0000 0.0000 0.0000 H
```

Values from the calculation:
mass density = 12.9 g/cm³
ΔE to the lowest computed polymorph = 0 meV/atom

***

(9)
Below is a relaxed Tb2Ag2Hg3 crystal, with properties calculated at the PBE level.

Structure (POSCAR):
```
Tb2Ag2Hg3
1.0
5.1091 -2.3273 0.0000
5.1091 2.3273 0.0000
-1.9656 0.0000 6.8702
Tb Ag Hg
2 2 3
direct
0.1228 0.1228 0.2533 Tb
0.8772 0.8772 0.7467 Tb
0.3865 0.3865 0.0727 Ag
0.6135 0.6135 0.9273 Ag
0.1784 0.1784 0.7072 Hg
0.5000 0.5000 0.5000 Hg
0.8216 0.8216 0.2928 Hg
```

Values from the calculation:
mass density = 11.5 g/cm³
calculated formation energy = -0.30 eV/atom

***

(10)
Below is a relaxed LiGaOF2 crystal, with properties calculated at the PBE level.

Structure (POSCAR):
```
LiGaOF2
1.0
3.4460 0.0000 0.0000
0.0000 3.4460 0.0000
0.0000 0.0000 4.0163
Li Ga O F
1 1 1 2
direct
0.0000 0.0000 0.0000 Li
0.5000 0.5000 0.5000 Ga
0.0000 0.0000 0.5000 O
0.0000 0.5000 0.0000 F
0.5000 0.0000 0.0000 F
```

Values from the calculation:
formation energy without anion corrections = -1449 meV/atom
mass density = 4.5 g/cm³
ΔE to the lowest computed polymorph = 727 meV/atom

***

(11)
Below is a relaxed Eu2AgS crystal, with properties calculated at the PBE level.

Structure (POSCAR):
```
Eu2AgS
1.0
2.0915 1.2075 7.5489
-2.0915 1.2075 7.5489
0.0000 -2.4150 7.5489
Eu Ag S
2 1 1
direct
0.2396 0.2396 0.2396 Eu
0.7604 0.7604 0.7604 Eu
0.0000 0.0000 0.0000 Ag
0.5000 0.5000 0.5000 S
```

Values from the calculation:
formation energy without anion corrections = -1082 meV/atom
mass density = 6.4 g/cm³

***

(12)
Below is a relaxed Ac2Pu3Si4 crystal, with properties calculated at the PBE level.

Structure (POSCAR):
```
Ac2Pu3Si4
1.0
3.1818 -8.4973 0.0000
3.1818 8.4973 0.0000
0.0000 0.0000 8.4750
Ac Pu Si
4 6 8
direct
0.1089 0.8911 0.9190 Ac
0.3911 0.6089 0.4190 Ac
0.6089 0.3911 0.5810 Ac
0.8911 0.1089 0.0810 Ac
0.0000 0.0000 0.5000 Pu
0.0376 0.4624 0.7500 Pu
0.4624 0.0376 0.2500 Pu
0.5000 0.5000 0.0000 Pu
0.5376 0.9624 0.7500 Pu
0.9624 0.5376 0.2500 Pu
0.1791 0.8209 0.5499 Si
0.2084 0.2916 0.7500 Si
0.2916 0.2084 0.2500 Si
0.3209 0.6791 0.0499 Si
0.6791 0.3209 0.9501 Si
0.7084 0.7916 0.7500 Si
0.7916 0.7084 0.2500 Si
0.8209 0.1791 0.4501 Si
```

Values from the calculation:
formation energy without anion corrections = -339 meV/atom
mass density = 9.4 g/cm³
ΔE to the lowest computed polymorph = 132 meV/atom